## NaLaZnS3 (PBE-GGA)

Data for a geometry-optimized NaLaZnS3 structure.

Calculated values
Symmetry: C2/m, No. 12
Theoretical density: 3.738 Mg/m³
Energy above the most stable polymorph in this dataset: 0.147 eV/atom
Raw total energy: -4.640 eV/atom

Cell lengths 9.7637, 9.7637, 7.7252 Å; angles 106.59, 106.59, 24.09 degrees
Last column: nearest neighbours and their distance in Å.
Atoms (fractional coordinates):
La: 0.8234 0.8234 0.3883  5 S 2.82-2.83
La: 0.1766 0.1766 0.6117  5 S 2.82-2.83
Na: 0.1136 0.1136 0.0849  6 S 2.91-3.02
Na: 0.8864 0.8864 0.9151  6 S 2.91-3.02
S: 0.5000 0.5000 0.0000  2 Zn 2.32
S: 0.3418 0.3418 0.1509  1 Zn 2.31
S: 0.6727 0.6727 0.3565  3 La 2.82, 2 Na 2.91
S: 0.0000 0.0000 0.5000  4 Zn 2.67
S: 0.3273 0.3273 0.6435  3 La 2.82, 2 Na 2.91
S: 0.6582 0.6582 0.8491  1 Zn 2.31
Zn: 0.4678 0.4678 0.2677  2 S 2.31-2.32
Zn: 0.5322 0.5322 0.7323  2 S 2.31-2.32

***

## NaLaZnS3 (PBE-GGA)

Data for a geometry-optimized NaLaZnS3 structure.

Calculated values
Symmetry: Pnma, No. 62
Theoretical density: 3.495 Mg/m³
Energy above the most stable polymorph in this dataset: 0.055 eV/atom
Raw total energy: -4.731 eV/atom

Cell lengths 13.3064, 4.0622, 11.3741 Å; angles 90.00, 90.00, 90.00 degrees
Last column: nearest neighbours and their distance in Å.
Atoms (fractional coordinates):
La: 0.4768 0.7500 0.1609  6 S 2.84-3.07
La: 0.9768 0.7500 0.3391  6 S 2.84-3.07
La: 0.0232 0.2500 0.6609  6 S 2.84-3.07
La: 0.5232 0.2500 0.8391  6 S 2.84-3.07
Na: 0.7629 0.7500 0.0716  4 S 2.90-2.99
Na: 0.2629 0.7500 0.4284  4 S 2.90-2.99
Na: 0.7371 0.2500 0.5716  4 S 2.90-2.99
Na: 0.2371 0.2500 0.9284  4 S 2.90-2.99
S: 0.6070 0.2500 0.0690  3 La 2.84-2.87, 2 Na 2.90
S: 0.0872 0.7500 0.1023  3 Zn 2.42-2.43
S: 0.8588 0.2500 0.2287  1 Zn 2.31
S: 0.3588 0.2500 0.2713  1 Zn 2.31
S: 0.5872 0.7500 0.3977  3 Zn 2.42-2.43
S: 0.1070 0.2500 0.4310  3 La 2.84-2.87, 2 Na 2.90
S: 0.8930 0.7500 0.5690  3 La 2.84-2.87, 2 Na 2.90
S: 0.4128 0.2500 0.6023  3 Zn 2.42-2.43
S: 0.6412 0.7500 0.7287  1 Zn 2.31
S: 0.1412 0.7500 0.7713  1 Zn 2.31
S: 0.9128 0.2500 0.8977  3 Zn 2.42-2.43
S: 0.3930 0.7500 0.9310  3 La 2.84-2.87, 2 Na 2.90
Zn: 0.9871 0.2500 0.0919  4 S 2.31-2.43
Zn: 0.4871 0.2500 0.4081  4 S 2.31-2.43
Zn: 0.5129 0.7500 0.5919  4 S 2.31-2.43
Zn: 0.0129 0.7500 0.9081  4 S 2.31-2.43

***

## NaLaZnS3 (PBE-GGA)

Data for a geometry-optimized NaLaZnS3 structure.

Calculated values
Symmetry: Pnma, No. 62
Theoretical density: 4.012 Mg/m³
Energy above the most stable polymorph in this dataset: 0.048 eV/atom
Raw total energy: -4.739 eV/atom

Cell lengths 8.1060, 4.0847, 16.1744 Å; angles 90.00, 90.00, 90.00 degrees
Last column: nearest neighbours and their distance in Å.
Atoms (fractional coordinates):
La: 0.2614 0.2500 0.0501  7 S 2.79-3.12
La: 0.7614 0.2500 0.4499  7 S 2.79-3.12
La: 0.2386 0.7500 0.5501  7 S 2.79-3.12
La: 0.7386 0.7500 0.9499  7 S 2.79-3.12
Na: 0.5721 0.7500 0.2283  5 S 2.93-2.98
Na: 0.0721 0.7500 0.2717  5 S 2.93-2.98
Na: 0.9279 0.2500 0.7283  5 S 2.93-2.98
Na: 0.4279 0.2500 0.7717  5 S 2.93-2.98
S: 0.6260 0.2500 0.0592  1 Zn 2.34
S: 0.0000 0.7500 0.0913  2 Zn 2.46
S: 0.3134 0.2500 0.2207  1 Zn 2.27
S: 0.8134 0.2500 0.2793  1 Zn 2.27
S: 0.5000 0.7500 0.4087  2 Zn 2.46
S: 0.1260 0.2500 0.4408  1 Zn 2.34
S: 0.8740 0.7500 0.5592  1 Zn 2.34
S: 0.5000 0.2500 0.5913  2 Zn 2.46
S: 0.1866 0.7500 0.7207  1 Zn 2.27
S: 0.6866 0.7500 0.7793  1 Zn 2.27
S: 0.0000 0.2500 0.9087  2 Zn 2.46
S: 0.3740 0.7500 0.9408  1 Zn 2.34
Zn: 0.8632 0.2500 0.1413  4 S 2.27-2.46
Zn: 0.3632 0.2500 0.3587  4 S 2.27-2.46
Zn: 0.6368 0.7500 0.6413  4 S 2.27-2.46
Zn: 0.1368 0.7500 0.8587  4 S 2.27-2.46

***

## NaLaZnS3 (PBE-GGA)

Data for a geometry-optimized NaLaZnS3 structure.

Calculated values
Symmetry: Pnma, No. 62
Theoretical density: 3.951 Mg/m³
Energy above the most stable polymorph in this dataset: 0.000 eV/atom
Raw total energy: -4.786 eV/atom

Cell lengths 11.3979, 4.0956, 11.6499 Å; angles 90.00, 90.00, 90.00 degrees
Last column: nearest neighbours and their distance in Å.
Atoms (fractional coordinates):
La: 0.4773 0.5000 0.1778  7 S 2.88-3.11
La: 0.9773 0.5000 0.3222  7 S 2.88-3.11
La: 0.0227 0.0000 0.6778  7 S 2.88-3.11
La: 0.5227 0.0000 0.8222  7 S 2.88-3.11
Na: 0.1507 0.0000 0.0106  5 S 2.90-2.99
Na: 0.6507 0.0000 0.4894  5 S 2.90-2.99
Na: 0.3493 0.5000 0.5106  5 S 2.90-2.99
Na: 0.8493 0.5000 0.9894  5 S 2.90-2.99
S: 0.6081 0.0000 0.0609  1 Zn 2.31
S: 0.9393 0.0000 0.1490  1 Zn 2.31
S: 0.2130 0.5000 0.1879  2 Zn 2.42
S: 0.7130 0.5000 0.3121  2 Zn 2.42
S: 0.4393 0.0000 0.3510  1 Zn 2.31
S: 0.1081 0.0000 0.4391  1 Zn 2.31
S: 0.8919 0.5000 0.5609  1 Zn 2.31
S: 0.5607 0.5000 0.6490  1 Zn 2.31
S: 0.2870 0.0000 0.6879  2 Zn 2.42
S: 0.7870 0.0000 0.8121  2 Zn 2.42
S: 0.0607 0.5000 0.8510  1 Zn 2.31
S: 0.3919 0.5000 0.9391  1 Zn 2.31
Zn: 0.7457 0.0000 0.2065  4 S 2.31-2.42
Zn: 0.2457 0.0000 0.2935  4 S 2.31-2.42
Zn: 0.7543 0.5000 0.7065  4 S 2.31-2.42
Zn: 0.2543 0.5000 0.7935  4 S 2.31-2.42

***

## NaLaZnSe3 (PBE-GGA)

Data for a geometry-optimized NaLaZnSe3 structure.

Calculated values
Symmetry: Pnma, No. 62
Theoretical density: 4.958 Mg/m³
Energy above the most stable polymorph in this dataset: 0.000 eV/atom
Raw total energy: -4.360 eV/atom

Cell lengths 4.2596, 11.8697, 12.2982 Å; angles 90.00, 90.00, 90.00 degrees
Last column: nearest neighbours and their distance in Å.
Atoms (fractional coordinates):
La: 0.7500 0.5231 0.1789  7 Se 3.01-3.25
La: 0.7500 0.0231 0.3211  7 Se 3.01-3.25
La: 0.2500 0.9769 0.6789  7 Se 3.01-3.25
La: 0.2500 0.4769 0.8211  7 Se 3.01-3.25
Na: 0.2500 0.8418 0.0034  5 Se 3.08-3.14
Na: 0.2500 0.3418 0.4966  5 Se 3.08-3.14
Na: 0.7500 0.6582 0.5034  5 Se 3.08-3.14
Na: 0.7500 0.1582 0.9966  5 Se 3.08-3.14
Se: 0.2500 0.3914 0.0610  1 Zn 2.45
Se: 0.2500 0.0570 0.1483  1 Zn 2.44
Se: 0.7500 0.7885 0.1842  2 Zn 2.54
Se: 0.7500 0.2885 0.3158  2 Zn 2.54
Se: 0.2500 0.5570 0.3517  1 Zn 2.44
Se: 0.2500 0.8914 0.4390  1 Zn 2.45
Se: 0.7500 0.1086 0.5610  1 Zn 2.45
Se: 0.7500 0.4430 0.6483  1 Zn 2.44
Se: 0.2500 0.7115 0.6842  2 Zn 2.54
Se: 0.2500 0.2115 0.8158  2 Zn 2.54
Se: 0.7500 0.9430 0.8517  1 Zn 2.44
Se: 0.7500 0.6086 0.9390  1 Zn 2.45
Zn: 0.2500 0.2528 0.2086  4 Se 2.44-2.54
Zn: 0.2500 0.7528 0.2914  4 Se 2.44-2.54
Zn: 0.7500 0.2472 0.7086  4 Se 2.44-2.54
Zn: 0.7500 0.7472 0.7914  4 Se 2.44-2.54

***

## NaLaZnSe3 (PBE-GGA)

Data for a geometry-optimized NaLaZnSe3 structure.

Calculated values
Symmetry: Pnma, No. 62
Theoretical density: 4.497 Mg/m³
Energy above the most stable polymorph in this dataset: 0.032 eV/atom
Raw total energy: -4.328 eV/atom

Cell lengths 13.9258, 4.2057, 11.7058 Å; angles 90.00, 90.00, 90.00 degrees
Last column: nearest neighbours and their distance in Å.
Atoms (fractional coordinates):
La: 0.5212 0.2500 0.1614  6 Se 2.97-3.17
La: 0.0212 0.2500 0.3386  6 Se 2.97-3.17
La: 0.9788 0.7500 0.6614  6 Se 2.97-3.17
La: 0.4788 0.7500 0.8386  6 Se 2.97-3.17
Na: 0.2345 0.2500 0.0639  4 Se 3.02-3.14
Na: 0.7345 0.2500 0.4361  4 Se 3.02-3.14
Na: 0.2655 0.7500 0.5639  4 Se 3.02-3.14
Na: 0.7655 0.7500 0.9361  4 Se 3.02-3.14
Se: 0.3899 0.7500 0.0693  3 La 2.97-2.99, 2 Na 3.02
Se: 0.9075 0.2500 0.1038  3 Zn 2.55-2.56
Se: 0.1436 0.7500 0.2308  1 Zn 2.44
Se: 0.6436 0.7500 0.2692  1 Zn 2.44
Se: 0.4075 0.2500 0.3962  3 Zn 2.55-2.56
Se: 0.8899 0.7500 0.4307  3 La 2.97-2.99, 2 Na 3.02
Se: 0.1101 0.2500 0.5693  3 La 2.97-2.99, 2 Na 3.02
Se: 0.5925 0.7500 0.6038  3 Zn 2.55-2.56
Se: 0.3564 0.2500 0.7308  1 Zn 2.44
Se: 0.8564 0.2500 0.7692  1 Zn 2.44
Se: 0.0925 0.7500 0.8962  3 Zn 2.55-2.56
Se: 0.6101 0.2500 0.9307  3 La 2.97-2.99, 2 Na 3.02
Zn: 0.0124 0.7500 0.0926  4 Se 2.44-2.56
Zn: 0.5124 0.7500 0.4074  4 Se 2.44-2.56
Zn: 0.4876 0.2500 0.5926  4 Se 2.44-2.56
Zn: 0.9876 0.2500 0.9074  4 Se 2.44-2.56

***

## NaLaZnSe3 (PBE-GGA)

Data for a geometry-optimized NaLaZnSe3 structure.

Calculated values
Symmetry: C2/m, No. 12
Theoretical density: 4.723 Mg/m³
Energy above the most stable polymorph in this dataset: 0.130 eV/atom
Raw total energy: -4.230 eV/atom

Cell lengths 10.1097, 10.1097, 8.1143 Å; angles 105.70, 105.70, 24.18 degrees
Last column: nearest neighbours and their distance in Å.
Atoms (fractional coordinates):
La: 0.8259 0.8259 0.3980  5 Se 2.94-2.98
La: 0.1741 0.1741 0.6020  5 Se 2.94-2.98
Na: 0.1129 0.1129 0.0817  6 Se 3.01-3.16
Na: 0.8871 0.8871 0.9183  6 Se 3.01-3.16
Se: 0.5000 0.5000 0.0000  2 Zn 2.46
Se: 0.3377 0.3377 0.1498  1 Zn 2.43
Se: 0.6725 0.6725 0.3487  3 La 2.94-2.95, 2 Na 3.02
Se: 0.0000 0.0000 0.5000  4 Zn 2.79
Se: 0.3275 0.3275 0.6513  3 La 2.94-2.95, 2 Na 3.02
Se: 0.6623 0.6623 0.8502  1 Zn 2.43
Zn: 0.4649 0.4649 0.2687  2 Se 2.43-2.46
Zn: 0.5351 0.5351 0.7313  2 Se 2.43-2.46

***

## NaLaZnSe3 (PBE-GGA)

Data for a geometry-optimized NaLaZnSe3 structure.

Calculated values
Symmetry: P2_1/m, No. 11
Theoretical density: 4.553 Mg/m³
Energy above the most stable polymorph in this dataset: 0.031 eV/atom
Raw total energy: -4.329 eV/atom

Cell lengths 8.1908, 4.2114, 10.0076 Å; angles 90.00, 101.26, 90.00 degrees
Last column: nearest neighbours and their distance in Å.
Atoms (fractional coordinates):
La: 0.7974 0.7500 0.3658  6 Se 2.98-3.18
La: 0.2026 0.2500 0.6342  6 Se 2.98-3.18
Na: 0.2559 0.7500 0.2350  4 Se 3.02-3.13
Na: 0.7441 0.2500 0.7650  4 Se 3.02-3.13
Se: 0.7209 0.7500 0.0414  3 Zn 2.56
Se: 0.5344 0.2500 0.3379  1 Zn 2.44
Se: 0.0474 0.2500 0.3390  3 La 2.98-2.99, 2 Na 3.02
Se: 0.9526 0.7500 0.6610  3 La 2.98-2.99, 2 Na 3.02
Se: 0.4656 0.7500 0.6621  1 Zn 2.44
Se: 0.2791 0.2500 0.9586  3 Zn 2.56
Zn: 0.5739 0.2500 0.1022  4 Se 2.44-2.56
Zn: 0.4261 0.7500 0.8978  4 Se 2.44-2.56